Entry 1:
Crystalline NaHf2Ag at its relaxed geometry. Source: Alexandria, functional GGA-PBE.

Lattice parameters (Å, degrees): 4.901 4.901 4.901 60.00 60.00 60.00
Fractional positions:
Na 0.000 0.000 0.000
Hf 0.250 0.250 0.250
Hf 0.750 0.750 0.750
Ag 0.500 0.500 0.500

## Properties
- Symmetry: Fm-3m, No. 225
- Formation energy from the elements: 0.5773 eV/atom
- Spin magnetization: 0.00 Bohr magnetons per cell
- DOS at the Fermi energy: 4.87 states/eV/cell
- Excess energy over the best structure of this formula in the dataset: 0 meV/atom
- Raw total energy: -5.442 eV/atom


Entry 2:
Crystalline NaHf2Ag at its relaxed geometry. Source: Alexandria, functional GGA-PBE.

Lattice parameters (Å, degrees): 4.053 4.053 11.582 79.92 79.92 90.00
Fractional positions:
Na 0.500 0.500 0.000
Na 0.250 0.750 0.500
Hf 0.634 0.125 0.250
Hf 0.116 0.625 0.250
Hf 0.375 0.366 0.750
Hf 0.875 0.884 0.750
Ag 0.000 0.000 0.000
Ag 0.750 0.250 0.500

## Properties
- Symmetry: I-42d, No. 122
- Formation energy from the elements: 0.6952 eV/atom
- Spin magnetization: 0.00 Bohr magnetons per cell
- DOS at the Fermi energy: 7.57 states/eV/cell
- Excess energy over the best structure of this formula in the dataset: 118 meV/atom
- Raw total energy: -5.324 eV/atom


Entry 3:
Crystalline NaHf3Ag at its relaxed geometry. Source: Alexandria, functional GGA-PBE.

Lattice parameters (Å, degrees): 4.936 4.936 4.936 90.00 90.00 90.00
Fractional positions:
Na 0.000 0.000 0.000
Hf 0.000 0.500 0.000
Hf 0.000 0.000 0.500
Hf 0.500 0.000 0.000
Ag 0.500 0.500 0.500

## Properties
- Symmetry: Pm-3m, No. 221
- Formation energy from the elements: 1.6653 eV/atom
- Spin magnetization: 0.00 Bohr magnetons per cell
- DOS at the Fermi energy: 3.05 states/eV/cell
- Excess energy over the best structure of this formula in the dataset: 516 meV/atom
- Raw total energy: -5.141 eV/atom


Entry 4:
Crystalline Na3HfAg at its relaxed geometry. Source: Alexandria, functional GGA-PBE.

Lattice parameters (Å, degrees): 6.145 6.145 6.145 90.00 90.00 90.00
Site moments in Bohr magnetons follow the coordinates.
Fractional positions:
Na 0.000 0.500 0.000  0.06
Na 0.000 0.000 0.500  0.05
Na 0.500 0.000 0.000  0.08
Hf 0.000 0.000 0.000  1.69
Ag 0.500 0.500 0.500  -0.03

## Properties
- Symmetry: Pm-3m, No. 221
- Formation energy from the elements: 1.4397 eV/atom
- Spin magnetization: 3.99 Bohr magnetons per cell
- DOS at the Fermi energy: 8.84 states/eV/cell
- Excess energy over the best structure of this formula in the dataset: 466 meV/atom
- Raw total energy: -1.913 eV/atom


Entry 5:
Crystalline NaHf2NbAg at its relaxed geometry. Source: Alexandria, functional GGA-PBE.

Lattice parameters (Å, degrees): 5.156 4.711 5.156 90.00 90.00 90.00
Site moments in Bohr magnetons follow the coordinates.
Fractional positions:
Na 0.000 0.500 0.000  0.00
Nb 0.500 0.500 0.500  1.03
Hf 0.000 0.000 0.500  0.06
Hf 0.500 0.000 0.000  -0.01
Ag 0.000 0.000 0.000  0.01

## Properties
- Symmetry: P4/mmm, No. 123
- Formation energy from the elements: 1.3294 eV/atom
- Spin magnetization: 1.43 Bohr magnetons per cell
- DOS at the Fermi energy: 7.08 states/eV/cell
- Raw total energy: -5.500 eV/atom


Entry 6:
Crystalline NaHfNiAg2 at its relaxed geometry. Source: Alexandria, functional GGA-PBE.

Lattice parameters (Å, degrees): 5.380 4.662 5.380 90.00 90.00 90.00
Fractional positions:
Ni 0.000 0.500 0.000
Hf 0.000 0.000 0.000
Ag 0.000 0.000 0.500
Ag 0.500 0.000 0.000
Na 0.500 0.500 0.500

## Properties
- Symmetry: P4/mmm, No. 123
- Formation energy from the elements: 0.8051 eV/atom
- Spin magnetization: 0.00 Bohr magnetons per cell
- DOS at the Fermi energy: 3.19 states/eV/cell
- Raw total energy: -3.746 eV/atom


Entry 7:
Crystalline Na2HfNiAg at its relaxed geometry. Source: Alexandria, functional GGA-PBE.

Lattice parameters (Å, degrees): 6.076 6.076 4.447 90.00 90.00 90.00
Fractional positions:
Ni 0.000 0.000 0.500
Hf 0.000 0.000 0.000
Ag 0.500 0.500 0.500
Na 0.000 0.500 0.000
Na 0.500 0.000 0.000

## Properties
- Symmetry: P4/mmm, No. 123
- Formation energy from the elements: 1.1952 eV/atom
- Spin magnetization: 0.00 Bohr magnetons per cell
- DOS at the Fermi energy: 3.64 states/eV/cell
- Raw total energy: -3.050 eV/atom


Entry 8:
Crystalline Na2HfAgO4 at its relaxed geometry. Source: Alexandria, functional GGA-PBE.

Lattice parameters (Å, degrees): 5.358 5.358 5.358 104.63 111.95 111.95
Site moments in Bohr magnetons follow the coordinates.
Fractional positions:
Na 0.500 0.750 0.250  0.00
Na 0.000 0.000 0.000  0.00
Hf 0.500 0.250 0.750  0.03
Ag 0.000 0.500 0.500  0.31
O 0.515 0.261 0.390  0.10
O 0.129 0.254 0.739  0.10
O 0.871 0.610 0.125  0.10
O 0.485 0.875 0.746  0.10

## Properties
- Symmetry: I-4, No. 82
- Spin magnetization: 0.80 Bohr magnetons per cell
- DOS at the Fermi energy: 2.18 states/eV/cell
- Uncorrected formation energy: -1.797 eV per atom
- Raw total energy: -6.207 eV/atom


Entry 9:
Crystalline NaHf2AgPb at its relaxed geometry. Source: Alexandria, functional GGA-PBE.

Lattice parameters (Å, degrees): 5.018 5.070 5.018 90.00 90.00 90.00
Fractional positions:
Pb 0.000 0.500 0.000
Na 0.000 0.000 0.000
Hf 0.000 0.000 0.500
Hf 0.500 0.000 0.000
Ag 0.500 0.500 0.500

## Properties
- Symmetry: P4/mmm, No. 123
- Formation energy from the elements: 1.4743 eV/atom
- Spin magnetization: 0.00 Bohr magnetons per cell
- DOS at the Fermi energy: 3.93 states/eV/cell
- Raw total energy: -4.083 eV/atom


Entry 10:
Crystalline NaHfReAg2 at its relaxed geometry. Source: Alexandria, functional GGA-PBE.

Lattice parameters (Å, degrees): 5.135 5.455 5.135 90.00 90.00 90.00
Site moments in Bohr magnetons follow the coordinates.
Fractional positions:
Re 0.500 0.500 0.500  3.66
Hf 0.000 0.000 0.000  -0.69
Ag 0.000 0.000 0.500  -0.03
Ag 0.500 0.000 0.000  -0.02
Na 0.000 0.500 0.000  -0.06

## Properties
- Symmetry: P4/mmm, No. 123
- Formation energy from the elements: 2.2574 eV/atom
- Spin magnetization: 3.11 Bohr magnetons per cell
- DOS at the Fermi energy: 4.96 states/eV/cell
- Raw total energy: -3.627 eV/atom


Entry 11:
Crystalline Na3Hf3AgS8 at its relaxed geometry. Source: Alexandria, functional GGA-PBE.

Lattice parameters (Å, degrees): 7.508 7.510 7.936 118.24 90.00 119.99
Fractional positions:
Na 0.000 0.000 0.000
Na 0.000 0.500 0.000
Na 0.500 0.500 0.000
Hf 0.500 0.000 0.500
Hf 0.500 0.500 0.500
Hf 0.000 0.500 0.500
Ag 0.000 0.000 0.500
S 0.260 0.519 0.279
S 0.740 0.481 0.721
S 0.749 0.498 0.283
S 0.251 0.502 0.717
S 0.749 0.034 0.283
S 0.251 0.966 0.717
S 0.285 0.034 0.283
S 0.715 0.966 0.717

## Properties
- Symmetry: R-3m, No. 166
- Spin magnetization: 0.00 Bohr magnetons per cell
- DOS at the Fermi energy: 2.17 states/eV/cell
- Uncorrected formation energy: -1.283 eV per atom
- Raw total energy: -5.929 eV/atom


Entry 12:
Crystalline NaHfSc2Ag at its relaxed geometry. Source: Alexandria, functional GGA-PBE.

Lattice parameters (Å, degrees): 5.009 5.009 4.731 90.00 90.00 90.00
Site moments in Bohr magnetons follow the coordinates.
Fractional positions:
Sc 0.000 0.500 0.000  -0.01
Sc 0.500 0.000 0.000  -0.01
Na 0.000 0.000 0.000  0.00
Hf 0.500 0.500 0.500  0.06
Ag 0.000 0.000 0.500  0.00

## Properties
- Symmetry: P4/mmm, No. 123
- Formation energy from the elements: 1.0400 eV/atom
- Spin magnetization: 0.07 Bohr magnetons per cell
- DOS at the Fermi energy: 7.65 states/eV/cell
- Raw total energy: -4.317 eV/atom


Entry 13:
Crystalline Na2HfAgSe4 at its relaxed geometry. Source: Alexandria, functional GGA-PBE.

Lattice parameters (Å, degrees): 3.895 7.336 7.418 112.78 90.00 90.00
Fractional positions:
Na 0.500 0.000 0.500
Na 0.000 0.500 0.500
Hf 0.500 0.500 0.000
Ag 0.000 0.000 0.000
Se 0.500 0.246 0.190
Se 0.500 0.754 0.810
Se 0.000 0.290 0.760
Se 0.000 0.710 0.240

## Properties
- Symmetry: P2/m, No. 10
- Spin magnetization: 0.00 Bohr magnetons per cell
- DOS at the Fermi energy: 4.33 states/eV/cell
- Uncorrected formation energy: -0.925 eV per atom
- Raw total energy: -4.597 eV/atom